Computed, not measured: an optimized crystal structure of Pm5Sn3Ge3 at the GGA-PBE level of DFT.

Cell lengths 9.6777, 9.6777, 4.1765 Å; angles 90.00, 90.00, 120.00 degrees
Last column: nearest neighbours and their distance in Å.
Atoms (fractional coordinates):
Pm  0.0000  0.2269  0.0000  2 Ge 3.03, 2 Sn 3.13
Pm  0.2269  0.0000  0.0000  2 Ge 3.03, 2 Sn 3.13
Pm  0.3333  0.6667  0.0000  3 Ge 3.12
Pm  0.6667  0.3333  0.0000  3 Ge 3.12
Pm  0.7731  0.7731  0.0000  2 Ge 3.03, 2 Sn 3.13
Sn  0.0000  0.4677  0.5000  2 Ge 2.69
Sn  0.4677  0.0000  0.5000  2 Ge 2.69
Sn  0.5323  0.5323  0.5000  2 Ge 2.69
Ge  0.0000  0.6433  0.0000  2 Sn 2.69
Ge  0.3567  0.3567  0.0000  2 Sn 2.69
Ge  0.6433  0.0000  0.0000  2 Sn 2.69

Final energy = -0.3592 Ry/atom
DFT formation energy = -0.38 eV per atom

=====

Computed, not measured: an optimized crystal structure of Pm4Sn2Ge at the GGA-PBE level of DFT.

Cell lengths 7.2104, 3.9604, 8.3930 Å; angles 90.00, 107.64, 90.00 degrees
Last column: nearest neighbours and their distance in Å.
Atoms (fractional coordinates):
Pm  0.0914  0.0000  0.2887  1 Ge 2.94
Pm  0.3922  0.5000  0.7063  2 Ge 2.89, 2 Sn 3.19
Pm  0.6078  0.5000  0.2937  2 Ge 2.89, 2 Sn 3.19
Pm  0.9086  0.0000  0.7113  1 Ge 2.94
Sn  0.2023  0.5000  0.0041  1 Sn 2.90, 2 Pm 3.19
Sn  0.7977  0.5000  0.9959  1 Sn 2.90, 2 Pm 3.19
Ge  0.5000  0.0000  0.5000  6 Pm 2.89-2.94

Final energy = -0.3674 Ry/atom
DFT formation energy = -0.48 eV per atom

=====

Computed, not measured: an optimized crystal structure of Pm2SnGe2 at the GGA-PBE level of DFT.

Cell lengths 7.5913, 7.5913, 4.3066 Å; angles 90.00, 90.00, 90.00 degrees
Last column: nearest neighbours and their distance in Å.
Atoms (fractional coordinates):
Pm  0.1798  0.3202  0.0000  6 Ge 3.05-3.16
Pm  0.3202  0.8202  0.0000  6 Ge 3.05-3.16
Pm  0.6798  0.1798  0.0000  6 Ge 3.05-3.16
Pm  0.8202  0.6798  0.0000  6 Ge 3.05-3.16
Sn  0.0000  0.0000  0.5000  4 Ge 3.03
Sn  0.5000  0.5000  0.5000  4 Ge 3.03
Ge  0.1189  0.6189  0.5000  1 Ge 2.55
Ge  0.3811  0.1189  0.5000  1 Ge 2.55
Ge  0.6189  0.8811  0.5000  1 Ge 2.55
Ge  0.8811  0.3811  0.5000  1 Ge 2.55

Final energy = -0.3899 Ry/atom
DFT formation energy = -0.76 eV per atom

=====

Computed, not measured: an optimized crystal structure of Pm4Sn3Ge5 at the GGA-PBE level of DFT.

Cell lengths 7.4183, 7.4183, 10.0749 Å; angles 113.15, 113.15, 38.58 degrees
Last column: nearest neighbours and their distance in Å.
Atoms (fractional coordinates):
Pm  0.1291  0.1291  0.4910  5 Ge 3.04-3.26
Pm  0.1412  0.1412  0.8582  3 Ge 2.88-3.20
Pm  0.8588  0.8588  0.1418  3 Ge 2.88-3.20
Pm  0.8709  0.8709  0.5090  5 Ge 3.04-3.26
Sn  0.2313  0.2313  0.2327  4 Ge 2.95-3.11
Sn  0.5000  0.5000  0.0000  2 Ge 2.45
Sn  0.7687  0.7687  0.7673  4 Ge 2.95-3.11
Ge  0.0000  0.0000  0.0000  2 Sn 2.45
Ge  0.3598  0.3598  0.7019  1 Ge 2.79, 3 Sn 2.82-2.96, 1 Pm 3.04
Ge  0.4629  0.4629  0.3585  2 Ge 2.60-2.79
Ge  0.5371  0.5371  0.6415  2 Ge 2.60-2.79
Ge  0.6402  0.6402  0.2981  1 Ge 2.79, 3 Sn 2.82-2.96, 1 Pm 3.04

Final energy = -0.3557 Ry/atom
DFT formation energy = -0.33 eV per atom

=====

Computed, not measured: an optimized crystal structure of Pm3SnGe2 at the GGA-PBE level of DFT.

Cell lengths 7.8039, 7.8039, 7.8039 Å; angles 61.98, 61.98, 61.98 degrees
Last column: nearest neighbours and their distance in Å.
Atoms (fractional coordinates):
Pm  0.0622  0.7500  0.4378  4 Ge 3.05-3.11, 2 Sn 3.18
Pm  0.2500  0.5622  0.9378  4 Ge 3.05-3.11, 2 Sn 3.18
Pm  0.4378  0.0622  0.7500  4 Ge 3.05-3.11, 2 Sn 3.18
Pm  0.5622  0.9378  0.2500  4 Ge 3.05-3.11, 2 Sn 3.18
Pm  0.7500  0.4378  0.0622  4 Ge 3.05-3.11, 2 Sn 3.18
Pm  0.9378  0.2500  0.5622  4 Ge 3.05-3.11, 2 Sn 3.18
Sn  0.0000  0.0000  0.0000  2 Ge 2.98, 6 Pm 3.18
Sn  0.5000  0.5000  0.5000  2 Ge 2.98, 6 Pm 3.18
Ge  0.1583  0.1583  0.1583  1 Sn 2.98, 6 Pm 3.05-3.11
Ge  0.3417  0.3417  0.3417  1 Sn 2.98, 6 Pm 3.05-3.11
Ge  0.6583  0.6583  0.6583  1 Sn 2.98, 6 Pm 3.05-3.11
Ge  0.8417  0.8417  0.8417  1 Sn 2.98, 6 Pm 3.05-3.11

Final energy = -0.3896 Ry/atom
DFT formation energy = -0.72 eV per atom

=====

Computed, not measured: an optimized crystal structure of Pm3Sn4Ge3 at the GGA-PBE level of DFT.

Cell lengths 8.7908, 8.7908, 8.7908 Å; angles 109.47, 109.47, 109.47 degrees
Last column: nearest neighbours and their distance in Å.
Atoms (fractional coordinates):
Pm  0.1250  0.7500  0.8750  4 Ge 3.11, 4 Sn 3.42
Pm  0.2500  0.6250  0.3750  4 Ge 3.11, 4 Sn 3.42
Pm  0.3750  0.2500  0.6250  4 Ge 3.11, 4 Sn 3.42
Pm  0.6250  0.3750  0.2500  4 Ge 3.11, 4 Sn 3.42
Pm  0.7500  0.8750  0.1250  4 Ge 3.11, 4 Sn 3.42
Pm  0.8750  0.1250  0.7500  4 Ge 3.11, 4 Sn 3.42
Sn  0.0000  0.3153  0.5000  3 Ge 2.88
Sn  0.0000  0.8153  0.5000  3 Ge 2.88
Sn  0.1847  0.1847  0.1847  3 Ge 2.88
Sn  0.3153  0.5000  0.0000  3 Ge 2.88
Sn  0.5000  0.0000  0.3153  3 Ge 2.88
Sn  0.5000  0.0000  0.8153  3 Ge 2.88
Sn  0.6847  0.6847  0.6847  3 Ge 2.88
Sn  0.8153  0.5000  0.0000  3 Ge 2.88
Ge  0.1250  0.8750  0.2500  4 Sn 2.88, 4 Pm 3.11
Ge  0.2500  0.1250  0.8750  4 Sn 2.88, 4 Pm 3.11
Ge  0.3750  0.6250  0.7500  4 Sn 2.88, 4 Pm 3.11
Ge  0.6250  0.7500  0.3750  4 Sn 2.88, 4 Pm 3.11
Ge  0.7500  0.3750  0.6250  4 Sn 2.88, 4 Pm 3.11
Ge  0.8750  0.2500  0.1250  4 Sn 2.88, 4 Pm 3.11

Final energy = -0.3540 Ry/atom
DFT formation energy = -0.41 eV per atom

=====

Computed, not measured: an optimized crystal structure of Pm3SnGe3 at the GGA-PBE level of DFT.

Cell lengths 8.8162, 8.8162, 5.8808 Å; angles 90.00, 90.00, 120.00 degrees
Last column: nearest neighbours and their distance in Å.
Atoms (fractional coordinates):
Pm  0.0777  0.3916  0.2500  5 Ge 2.94-3.19
Pm  0.3139  0.9223  0.2500  5 Ge 2.94-3.19
Pm  0.3916  0.3139  0.7500  5 Ge 2.94-3.19
Pm  0.6084  0.6861  0.2500  5 Ge 2.94-3.19
Pm  0.6861  0.0777  0.7500  5 Ge 2.94-3.19
Pm  0.9223  0.6084  0.7500  5 Ge 2.94-3.19
Sn  0.3333  0.6667  0.7500  3 Ge 2.68
Sn  0.6667  0.3333  0.2500  3 Ge 2.68
Ge  0.0622  0.3374  0.7500  1 Sn 2.68, 3 Pm 2.94-2.97
Ge  0.2753  0.9378  0.7500  1 Sn 2.68, 3 Pm 2.94-2.97
Ge  0.3374  0.2753  0.2500  1 Sn 2.68, 3 Pm 2.94-2.97
Ge  0.6626  0.7247  0.7500  1 Sn 2.68, 3 Pm 2.94-2.97
Ge  0.7247  0.0622  0.2500  1 Sn 2.68, 3 Pm 2.94-2.97
Ge  0.9378  0.6626  0.2500  1 Sn 2.68, 3 Pm 2.94-2.97

Final energy = -0.3817 Ry/atom
DFT formation energy = -0.61 eV per atom

=====

Computed, not measured: an optimized crystal structure of Pm4SnGe4 at the GGA-PBE level of DFT.

Cell lengths 8.9081, 8.9081, 6.0631 Å; angles 90.00, 90.00, 90.00 degrees
Last column: nearest neighbours and their distance in Å.
Atoms (fractional coordinates):
Pm  0.0402  0.6771  0.1100  3 Ge 2.89-3.11
Pm  0.1771  0.9598  0.6100  3 Ge 2.89-3.11
Pm  0.3229  0.5402  0.6100  3 Ge 2.89-3.11
Pm  0.4598  0.8229  0.1100  3 Ge 2.89-3.11
Pm  0.5402  0.1771  0.8900  3 Ge 2.89-3.11
Pm  0.6771  0.4598  0.3900  3 Ge 2.89-3.11
Pm  0.8229  0.0402  0.3900  3 Ge 2.89-3.11
Pm  0.9598  0.3229  0.8900  3 Ge 2.89-3.11
Sn  0.2500  0.2500  0.2500  4 Ge 2.71
Sn  0.7500  0.7500  0.7500  4 Ge 2.71
Ge  0.0113  0.6296  0.6038  1 Ge 2.64, 1 Sn 2.71, 1 Pm 2.89
Ge  0.1296  0.9887  0.1038  1 Ge 2.64, 1 Sn 2.71, 1 Pm 2.89
Ge  0.3704  0.5113  0.1038  1 Ge 2.64, 1 Sn 2.71, 1 Pm 2.89
Ge  0.4887  0.8704  0.6038  1 Ge 2.64, 1 Sn 2.71, 1 Pm 2.89
Ge  0.5113  0.1296  0.3962  1 Ge 2.64, 1 Sn 2.71, 1 Pm 2.89
Ge  0.6296  0.4887  0.8962  1 Ge 2.64, 1 Sn 2.71, 1 Pm 2.89
Ge  0.8704  0.0113  0.8962  1 Ge 2.64, 1 Sn 2.71, 1 Pm 2.89
Ge  0.9887  0.3704  0.3962  1 Ge 2.64, 1 Sn 2.71, 1 Pm 2.89

Final energy = -0.3755 Ry/atom
DFT formation energy = -0.50 eV per atom

=====

Computed, not measured: an optimized crystal structure of Pm6SnGe3 at the GGA-PBE level of DFT.

Cell lengths 11.9436, 4.3511, 12.4711 Å; angles 90.00, 107.64, 90.00 degrees
Last column: nearest neighbours and their distance in Å.
Atoms (fractional coordinates):
Pm  0.0273  0.2500  0.3928  3 Ge 2.89-2.96
Pm  0.1082  0.2500  0.9477  4 Ge 2.92-3.05
Pm  0.2251  0.7500  0.2715  3 Ge 3.03-3.04, 2 Sn 3.33
Pm  0.2938  0.7500  0.7582  3 Ge 2.91-3.06
Pm  0.3771  0.2500  0.5440  2 Ge 3.05, 3 Sn 3.24-3.34
Pm  0.4204  0.7500  0.0948  3 Ge 2.90-3.02
Pm  0.5796  0.2500  0.9052  3 Ge 2.90-3.02
Pm  0.6229  0.7500  0.4560  2 Ge 3.05, 3 Sn 3.24-3.34
Pm  0.7062  0.2500  0.2418  3 Ge 2.91-3.06
Pm  0.7749  0.2500  0.7285  3 Ge 3.03-3.04, 2 Sn 3.33
Pm  0.8918  0.7500  0.0523  4 Ge 2.92-3.05
Pm  0.9727  0.7500  0.6072  3 Ge 2.89-2.96
Sn  0.4432  0.2500  0.3023  8 Pm 3.24-3.45
Sn  0.5568  0.7500  0.6977  8 Pm 3.24-3.45
Ge  0.0469  0.2500  0.1678  6 Pm 2.89-3.05
Ge  0.1893  0.7500  0.5021  7 Pm 2.96-3.23
Ge  0.3422  0.2500  0.9206  6 Pm 2.90-3.02
Ge  0.6578  0.7500  0.0794  6 Pm 2.90-3.02
Ge  0.8107  0.2500  0.4979  7 Pm 2.96-3.23
Ge  0.9531  0.7500  0.8322  6 Pm 2.89-3.05

Final energy = -0.3879 Ry/atom
DFT formation energy = -0.64 eV per atom

=====

Computed, not measured: an optimized crystal structure of Pm3Sn3Ge2 at the GGA-PBE level of DFT.

Cell lengths 4.1771, 5.0173, 10.4262 Å; angles 98.89, 101.52, 90.02 degrees
Last column: nearest neighbours and their distance in Å.
Atoms (fractional coordinates):
Pm  0.0000  0.0000  0.0000  8 Sn 3.26-3.49
Pm  0.3432  0.9196  0.6860  4 Ge 2.96-3.16
Pm  0.6568  0.0804  0.3140  4 Ge 2.96-3.16
Sn  0.1158  0.5585  0.2323  2 Sn 3.14, 3 Ge 3.22-3.29, 6 Pm 3.35-3.49
Sn  0.5000  0.5000  0.0000  4 Sn 3.14, 4 Pm 3.26
Sn  0.8842  0.4415  0.7677  2 Sn 3.14, 3 Ge 3.22-3.29, 6 Pm 3.35-3.49
Ge  0.2616  0.3588  0.5243  2 Ge 2.61-2.62
Ge  0.7384  0.6412  0.4757  2 Ge 2.61-2.62

Final energy = -0.3696 Ry/atom
DFT formation energy = -0.59 eV per atom

=====

Computed, not measured: an optimized crystal structure of Pm2SnGe3 at the GGA-PBE level of DFT.

Cell lengths 6.3087, 6.3087, 9.5946 Å; angles 112.75, 112.75, 57.07 degrees
Last column: nearest neighbours and their distance in Å.
Atoms (fractional coordinates):
Pm  0.1711  0.2252  0.0935  6 Ge 2.98-3.32
Pm  0.2252  0.1711  0.5935  6 Ge 2.98-3.32
Pm  0.7748  0.8289  0.4065  6 Ge 2.98-3.32
Pm  0.8289  0.7748  0.9065  6 Ge 2.98-3.32
Sn  0.2442  0.7558  0.7500  6 Ge 2.92-3.19
Sn  0.7558  0.2442  0.2500  6 Ge 2.92-3.19
Ge  0.2402  0.7598  0.2500  2 Sn 2.92-3.11, 4 Ge 2.98-3.26
Ge  0.3406  0.4136  0.4334  1 Ge 2.49
Ge  0.4136  0.3406  0.9334  1 Ge 2.49
Ge  0.5864  0.6594  0.0666  1 Ge 2.49
Ge  0.6594  0.5864  0.5666  1 Ge 2.49
Ge  0.7598  0.2402  0.7500  2 Sn 2.92-3.11, 4 Ge 2.98-3.26

Final energy = -0.3719 Ry/atom
DFT formation energy = -0.50 eV per atom